Entry 1:
{"formula": "LiNbNiB", "functional": "GGA-PBE", "state": "optimized geometry", "total_magnetization_mub_per_fu": 0.0, "de_polymorph_mev_per_atom": 161, "rho_g_cm3": 6.30, "lattice_angstrom": [[-3.130, -2.412, -0.493], [-3.683, 1.352, 0.683], [-2.503, 0.582, -3.042]], "species": ["Li", "Ni", "Nb", "B"], "fractional_positions": [[0.250, 0.250, 0.250], [0.750, 0.750, 0.750], [0.500, 0.500, 0.500], [0.000, 0.000, 0.000]]}


Entry 2:
{"formula": "LiNdB", "functional": "GGA-PBE", "state": "optimized geometry", "total_magnetization_mub_per_fu": 0.0, "de_polymorph_mev_per_atom": 0, "rho_g_cm3": 4.65, "lattice_angstrom": [[-2.636, -3.435, -0.300], [-4.232, 0.574, -0.771], [-1.677, -1.120, -3.843]], "species": ["Nd", "B", "Li"], "fractional_positions": [[0.750, 0.750, 0.750], [0.000, 0.000, 0.000], [0.250, 0.250, 0.250]]}


Entry 3:
{"formula": "LiNdB4", "functional": "GGA-PBE", "state": "optimized geometry", "total_magnetization_mub_per_fu": 0.0, "de_polymorph_mev_per_atom": 0, "rho_g_cm3": 4.61, "lattice_angstrom": [[-1.576, 2.718, 4.091], [1.576, -2.718, 4.091], [1.576, 2.718, -4.091]], "species": ["B", "B", "Nd", "B", "Li", "B"], "fractional_positions": [[0.429, 0.754, 0.676], [0.922, 0.246, 0.676], [0.500, 0.500, 0.000], [0.078, 0.754, 0.324], [0.000, 0.000, 0.000], [0.571, 0.246, 0.324]]}


Entry 4:
{"formula": "LiNdB4", "functional": "GGA-PBE", "state": "optimized geometry", "total_magnetization_mub_per_fu": 0.0, "de_polymorph_mev_per_atom": 7, "rho_g_cm3": 5.46, "lattice_angstrom": [[-1.036, 1.373, -2.772], [-0.618, -3.148, 0.591], [-5.512, 1.619, 2.862]], "species": ["Nd", "Li", "B", "B", "B", "B"], "fractional_positions": [[0.000, 0.000, 0.000], [0.000, 0.000, 0.500], [0.333, 0.667, 0.682], [0.333, 0.667, 0.318], [0.667, 0.333, 0.682], [0.667, 0.333, 0.318]]}


Entry 5:
{"formula": "LiNdB", "functional": "GGA-PBE", "state": "optimized geometry", "total_magnetization_mub_per_fu": 0.0, "de_polymorph_mev_per_atom": 567, "rho_g_cm3": 4.54, "lattice_angstrom": [[0.389, 0.501, 4.330], [2.186, 3.429, 1.618], [-2.165, 3.213, 2.034]], "species": ["Nd", "B", "Li"], "fractional_positions": [[0.000, 0.000, 0.000], [0.250, 0.250, 0.250], [0.750, 0.750, 0.750]]}


Entry 6:
{"formula": "LiNdB", "functional": "GGA-PBE", "state": "optimized geometry", "total_magnetization_mub_per_fu": 0.0, "de_polymorph_mev_per_atom": 405, "rho_g_cm3": 5.03, "lattice_angstrom": [[0.000, 2.991, 2.991], [2.991, 0.000, 2.991], [2.991, 2.991, 0.000]], "species": ["Nd", "B", "Li"], "fractional_positions": [[0.750, 0.750, 0.750], [0.250, 0.250, 0.250], [0.000, 0.000, 0.000]]}


Entry 7:
{"formula": "Li3Nd2B3O9", "functional": "GGA-PBE", "state": "optimized geometry", "total_magnetization_mub_per_fu": 0.0, "rho_g_cm3": 4.67, "lattice_angstrom": [[5.717, 0.000, 0.000], [0.000, 14.131, 0.000], [-3.644, 0.000, 8.549]], "species": ["Li", "Nd", "Nd", "O", "O", "Li", "Nd", "B", "O", "B", "O", "B", "O", "B", "O", "B", "O", "Nd", "O", "Li", "O", "O", "O", "O", "O", "Nd", "O", "B", "Li", "O", "O", "O", "B", "Li", "O", "Li", "O", "Li", "O", "B", "Li", "Nd", "O", "O", "O", "O", "Li", "O", "O", "O", "Li", "O", "B", "O", "O", "B", "O", "O", "Li", "Nd", "O", "B", "O", "O", "B", "O", "Nd", "Li"], "fractional_positions": [[0.548, 0.113, 0.207], [0.151, 0.997, 0.340], [0.556, 0.664, 0.692], [0.810, 0.398, 0.583], [0.167, 0.574, 0.094], [0.918, 0.666, 0.489], [0.849, 0.003, 0.660], [0.238, 0.986, 0.987], [0.005, 0.832, 0.366], [0.115, 0.663, 0.027], [0.823, 0.243, 0.381], [0.611, 0.823, 0.520], [0.167, 0.926, 0.594], [0.389, 0.177, 0.480], [0.821, 0.566, 0.604], [0.762, 0.486, 0.513], [0.345, 0.507, 0.648], [0.556, 0.836, 0.192], [0.177, 0.757, 0.619], [0.087, 0.784, 0.792], [0.833, 0.074, 0.406], [0.177, 0.743, 0.119], [0.005, 0.668, 0.866], [0.821, 0.934, 0.104], [0.547, 0.906, 0.433], [0.151, 0.503, 0.840], [0.711, 0.670, 0.182], [0.885, 0.163, 0.473], [0.918, 0.834, 0.989], [0.453, 0.406, 0.067], [0.289, 0.330, 0.818], [0.179, 0.434, 0.396], [0.238, 0.514, 0.487], [0.082, 0.166, 0.011], [0.655, 0.493, 0.352], [0.548, 0.387, 0.707], [0.289, 0.170, 0.318], [0.082, 0.334, 0.511], [0.547, 0.594, 0.933], [0.115, 0.837, 0.527], [0.452, 0.887, 0.793], [0.444, 0.336, 0.308], [0.823, 0.257, 0.881], [0.711, 0.830, 0.682], [0.655, 0.007, 0.852], [0.190, 0.602, 0.417], [0.087, 0.716, 0.292], [0.453, 0.094, 0.567], [0.833, 0.426, 0.906], [0.179, 0.066, 0.896], [0.913, 0.216, 0.208], [0.810, 0.102, 0.083], [0.885, 0.337, 0.973], [0.345, 0.993, 0.148], [0.995, 0.168, 0.634], [0.611, 0.677, 0.020], [0.585, 0.762, 0.944], [0.585, 0.738, 0.444], [0.452, 0.613, 0.293], [0.849, 0.497, 0.160], [0.415, 0.238, 0.056], [0.762, 0.014, 0.013], [0.190, 0.898, 0.917], [0.415, 0.262, 0.556], [0.389, 0.323, 0.980], [0.995, 0.332, 0.134], [0.444, 0.164, 0.808], [0.913, 0.284, 0.708]]}


Entry 8:
{"formula": "Li6NdB3O9", "functional": "GGA-PBE", "state": "optimized geometry", "total_magnetization_mub_per_fu": 0.0, "rho_g_cm3": 3.11, "lattice_angstrom": [[-5.000, -2.800, 4.452], [-7.538, -7.049, -12.898], [4.831, -4.598, -0.310]], "species": ["O", "O", "Nd", "O", "Li", "O", "O", "Li", "Nd", "B", "O", "Li", "O", "O", "Li", "B", "Li", "Li", "O", "O", "Li", "Li", "O", "Li", "O", "Li", "O", "B", "O", "Li", "O", "O", "O", "Li", "O", "O", "Li", "Li", "O", "B", "Nd", "B", "O", "O", "B", "O", "B", "O", "Li", "Li", "Li", "O", "Li", "Li", "O", "O", "Li", "O", "O", "B", "O", "Li", "Li", "Nd", "B", "B", "O", "O", "O", "B", "Li", "O", "Li", "O", "B", "O"], "fractional_positions": [[0.087, 0.448, 0.174], [0.468, 0.913, 0.089], [0.080, 0.189, 0.152], [0.127, 0.571, 0.459], [0.306, 0.034, 0.944], [0.267, 0.800, 0.947], [0.004, 0.828, 0.525], [0.544, 0.470, 0.169], [0.080, 0.311, 0.652], [0.084, 0.134, 0.661], [0.281, 0.067, 0.233], [0.694, 0.534, 0.556], [0.996, 0.328, 0.975], [0.733, 0.200, 0.053], [0.074, 0.996, 0.178], [0.916, 0.634, 0.839], [0.442, 0.204, 0.953], [0.456, 0.530, 0.831], [0.873, 0.071, 0.041], [0.428, 0.197, 0.277], [0.926, 0.496, 0.322], [0.074, 0.504, 0.678], [0.733, 0.300, 0.553], [0.138, 0.553, 0.085], [0.841, 0.817, 0.168], [0.862, 0.053, 0.415], [0.392, 0.923, 0.574], [0.443, 0.386, 0.814], [0.608, 0.423, 0.926], [0.288, 0.795, 0.633], [0.267, 0.700, 0.447], [0.532, 0.087, 0.911], [0.532, 0.413, 0.411], [0.926, 0.004, 0.822], [0.468, 0.587, 0.589], [0.913, 0.552, 0.826], [0.694, 0.966, 0.056], [0.138, 0.947, 0.585], [0.159, 0.317, 0.332], [0.916, 0.866, 0.339], [0.920, 0.689, 0.348], [0.292, 0.881, 0.002], [0.159, 0.183, 0.832], [0.428, 0.303, 0.777], [0.557, 0.614, 0.186], [0.127, 0.929, 0.959], [0.708, 0.119, 0.998], [0.719, 0.933, 0.767], [0.712, 0.205, 0.367], [0.442, 0.296, 0.453], [0.862, 0.447, 0.915], [0.719, 0.567, 0.267], [0.456, 0.970, 0.331], [0.712, 0.295, 0.867], [0.572, 0.803, 0.723], [0.392, 0.577, 0.074], [0.288, 0.705, 0.133], [0.873, 0.429, 0.541], [0.004, 0.672, 0.025], [0.557, 0.886, 0.686], [0.572, 0.697, 0.223], [0.558, 0.704, 0.547], [0.306, 0.466, 0.444], [0.920, 0.811, 0.848], [0.443, 0.114, 0.314], [0.292, 0.619, 0.502], [0.913, 0.948, 0.326], [0.841, 0.683, 0.668], [0.608, 0.077, 0.426], [0.084, 0.366, 0.161], [0.558, 0.796, 0.047], [0.996, 0.172, 0.475], [0.544, 0.030, 0.669], [0.281, 0.433, 0.733], [0.708, 0.381, 0.498], [0.087, 0.052, 0.674]]}


Table of DFT total energy (eV per atom), in record order: -5.815; -4.248; -5.660; -5.653; -3.681; -3.844; -7.413; -6.719